w | The following is a DFT calculation (GGA-PBE) of CsLi3Hg after structural relaxation.

Output
Its density of states at the Fermi level is 5.4 states/eV/cell.

The structure in CIF format:
```
data_CsLi3Hg
_chemical_formula_sum 'Cs1 Li3 Hg1'
_space_group_name_H-M_alt 'P m -3 m'
_space_group_IT_number 221
_space_group_name_Hall '-P 4 2 3'
_cell_length_a 6.458
_cell_length_b 6.458
_cell_length_c 6.458
_cell_angle_alpha 90.00
_cell_angle_beta 90.00
_cell_angle_gamma 90.00
loop_
_atom_site_label
_atom_site_type_symbol
_atom_site_fract_x
_atom_site_fract_y
_atom_site_fract_z
Cs1 Cs 0.000 0.000 0.000
Li1 Li 0.000 0.000 0.500
Hg1 Hg 0.500 0.500 0.500
```

x | The following is a DFT calculation (GGA-PBE) of CsLi3Hg after structural relaxation.

Output
Its density of states at the Fermi level is 4.1 states/eV/cell.

The structure in CIF format:
```
data_CsLi3Hg
_chemical_formula_sum 'Cs1 Li3 Hg1'
_space_group_name_H-M_alt 'P m -3 m'
_space_group_IT_number 221
_space_group_name_Hall '-P 4 2 3'
_cell_length_a 5.527
_cell_length_b 5.527
_cell_length_c 5.527
_cell_angle_alpha 90.00
_cell_angle_beta 90.00
_cell_angle_gamma 90.00
loop_
_atom_site_label
_atom_site_type_symbol
_atom_site_fract_x
_atom_site_fract_y
_atom_site_fract_z
Cs1 Cs 0.000 0.000 0.000
Li1 Li 0.000 0.500 0.500
Hg1 Hg 0.500 0.500 0.500
```

So which one is most stable? That would be x, about 818 meV per atom below the next structure.